TaGaSn | PBE | relaxed

Cell and atoms, written as POSCAR:
```
TaGaSn
1.0
5.6579 -1.5397 0.0000
5.6579 1.5397 0.0000
-2.6760 0.0000 7.0400
Ta Ga Sn
2 2 2
Direct
0.1067 0.1067 0.1718
0.8933 0.8933 0.8282
0.3540 0.3540 0.5128
0.6460 0.6460 0.4872
0.3753 0.3753 0.1573
0.6247 0.6247 0.8427
```

Summary:
DOS(E_F), states/eV/f.u.: 1.906
VASP energy, eV/atom: -6.107
Excess energy over the best structure of this formula in the dataset, meV per atom: 0


TaGaSn2 | PBE | relaxed

Cell and atoms, written as POSCAR:
```
TaGaSn2
1.0
1.5363 0.8870 11.4325
-1.5363 0.8870 11.4325
0.0000 -1.7740 11.4325
Ta Ga Sn
1 1 2
Direct
0.0000 0.0000 0.0000
0.5000 0.5000 0.5000
0.0847 0.0847 0.0847
0.9153 0.9153 0.9153
```

Summary:
DOS(E_F), states/eV/f.u.: 3.026
VASP energy, eV/atom: -5.252


TaGaSn3 | PBE | relaxed

Cell and atoms, written as POSCAR:
```
TaGaSn3
1.0
5.1400 0.0000 0.0000
0.0000 5.1400 0.0000
0.0000 0.0000 5.1400
Ta Ga Sn
1 1 3
Direct
0.0000 0.0000 0.0000
0.5000 0.5000 0.5000
0.0000 0.5000 0.5000
0.5000 0.0000 0.5000
0.5000 0.5000 0.0000
```

Summary:
DOS(E_F), states/eV/f.u.: 7.075
VASP energy, eV/atom: -4.170
Excess energy over the best structure of this formula in the dataset, meV per atom: 801


TaGaSn | PBE | relaxed

Cell and atoms, written as POSCAR:
```
TaGaSn
1.0
4.7893 0.0000 0.0000
-2.3946 4.1476 0.0000
0.0000 0.0000 2.9543
Ta Ga Sn
1 1 1
Direct
0.0000 0.0000 0.0000
0.6667 0.3333 0.8739
0.3333 0.6667 0.4844
```

Summary:
DOS(E_F), states/eV/f.u.: 1.822
VASP energy, eV/atom: -6.017
Excess energy over the best structure of this formula in the dataset, meV per atom: 90


Ta2GaSn2 | PBE | relaxed

Cell and atoms, written as POSCAR:
```
Ta2GaSn2
1.0
7.0681 0.0000 0.0000
0.0000 7.0681 0.0000
0.0000 0.0000 4.1101
Ta Ga Sn
4 2 4
Direct
0.1456 0.3544 0.0000
0.3544 0.8544 0.0000
0.6456 0.1456 0.0000
0.8544 0.6456 0.0000
0.0000 0.0000 0.0000
0.5000 0.5000 0.0000
0.1574 0.6574 0.5000
0.3426 0.1574 0.5000
0.6574 0.8426 0.5000
0.8426 0.3426 0.5000
```

Summary:
DOS(E_F), states/eV/f.u.: 2.616
VASP energy, eV/atom: -6.821


TaGaSn3 | PBE | relaxed

Cell and atoms, written as POSCAR:
```
TaGaSn3
1.0
5.3982 0.0000 0.0000
0.0000 5.3982 0.0000
0.0000 0.0000 5.3982
Ta Ga Sn
1 1 3
Direct
0.0000 0.0000 0.0000
0.5000 0.5000 0.5000
0.0000 0.0000 0.5000
0.0000 0.5000 0.0000
0.5000 0.0000 0.0000
```

Summary:
DOS(E_F), states/eV/f.u.: 2.661
VASP energy, eV/atom: -4.971
Excess energy over the best structure of this formula in the dataset, meV per atom: 0


no.,magnetization (μB per atom)
1,0.00
2,0.00
3,0.00
4,0.00
5,0.00
6,0.00